AlAs2Au (PBE, optimized geometry); total magnetic moment = 0.00 μB per formula unit
1.0
-1.9211 1.9882 5.5185
1.9211 -1.9882 5.5185
1.9211 1.9882 -5.5185
Al As Au
1 2 1
Direct
0.0000 0.0000 0.0000
0.1615 0.6615 0.5000
0.8385 0.3385 0.5000
0.5000 0.5000 0.0000

Pm3Sm3GaHg2 (PBE, optimized geometry); total magnetic moment = 0.00 μB per formula unit
1.0
8.9325 0.0000 0.0000
-4.4663 7.7358 0.0000
0.0000 0.0000 3.7815
Pm Sm Ga Hg
3 3 1 2
Direct
0.0000 0.2664 0.0000
0.2664 0.0000 0.0000
0.7336 0.7336 0.0000
0.0000 0.6047 0.5000
0.3953 0.3953 0.5000
0.6047 0.0000 0.5000
0.0000 0.0000 0.5000
0.3333 0.6667 0.0000
0.6667 0.3333 0.0000

One value per record, in order, for calculated total energy: -4.069 -3.872 eV/atom.